Entry 1:
First-principles (PBE) data for a relaxed GdErZn4 crystal, as listed in Alexandria via LeMat-Bulk.

Computed properties:
The calculated volume is 19.19 A^3/atom. The energy of formation comes out at -2.00 eV/f.u. For the magnetic moment, the calculation gives 1.1784 μB per atom. As for the space-group type: No. 216.

abc: 5.4605 5.4605 5.4605
angles: 60.00 60.00 60.00
Last column: nearest neighbours and their distance in Å.
Fractional coordinates of all 6 atoms:
Gd 0.0000 0.0000 0.0000  12 Zn 3.20, 4 Er 3.34
Er 0.7500 0.7500 0.7500  12 Zn 3.20, 4 Gd 3.34
Zn 0.3752 0.3752 0.3752  6 Zn 2.73
Zn 0.3752 0.3752 0.8744  6 Zn 2.73
Zn 0.3752 0.8744 0.3752  6 Zn 2.73
Zn 0.8744 0.3752 0.3752  6 Zn 2.73


Entry 2:
First-principles (PBE) data for a relaxed Cs2NaLiSe2 crystal, as listed in Alexandria via LeMat-Bulk.

Computed properties:
Its total energy is -3.119 eV per atom. The calculated volume is 32.33 A^3/atom. For the magnetic moment, the calculation gives 0.0000 μB per atom. As for the space-group type: No. 72.

abc: 9.4529 9.4529 9.4529
angles: 136.83 62.42 137.19
Last column: nearest neighbours and their distance in Å.
Fractional coordinates of all 12 atoms:
Cs 0.1706 0.2501 0.4207  5 Se 3.58-3.87, 2 Li 3.69, 2 Na 3.69
Cs 0.3294 0.7501 0.0795  5 Se 3.58-3.87, 2 Li 3.69, 2 Na 3.69
Cs 0.6706 0.2499 0.9205  5 Se 3.58-3.87, 2 Li 3.69, 2 Na 3.69
Cs 0.8294 0.7499 0.5793  5 Se 3.58-3.87, 2 Li 3.69, 2 Na 3.69
Na 0.2500 0.2500 0.0000  4 Se 2.94
Na 0.7500 0.7500 0.0000  4 Se 2.94
Li 0.2500 0.7500 0.5000  4 Se 2.76
Li 0.7500 0.2500 0.5000  4 Se 2.76
Se 0.0901 0.7293 0.8194  2 Li 2.76, 2 Na 2.94
Se 0.4099 0.2293 0.6392  2 Li 2.76, 2 Na 2.94
Se 0.5901 0.7707 0.3608  2 Li 2.76, 2 Na 2.94
Se 0.9099 0.2707 0.1806  2 Li 2.76, 2 Na 2.94


Entry 3:
First-principles (PBE) data for a relaxed Mg2Al2Cu5Ag crystal, as listed in Alexandria via LeMat-Bulk.

Computed properties:
The calculated volume is 15.40 A^3/atom. The energy of formation comes out at -0.19 eV/f.u. For the magnetic moment, the calculation gives 0.0000 μB per atom. As for the space-group type: No. 127.

abc: 8.9912 8.9912 3.8092
angles: 90.00 90.00 90.00
Last column: nearest neighbours and their distance in Å.
Fractional coordinates of all 20 atoms:
Mg 0.1806 0.3194 0.0000  3 Al 2.60-2.72
Mg 0.3194 0.8194 0.0000  3 Al 2.60-2.72
Mg 0.6806 0.1806 0.0000  3 Al 2.60-2.72
Mg 0.8194 0.6806 0.0000  3 Al 2.60-2.72
Al 0.1153 0.6153 0.0000  6 Cu 2.40-2.53, 1 Mg 2.60
Al 0.3847 0.1153 0.0000  6 Cu 2.40-2.53, 1 Mg 2.60
Al 0.6153 0.8847 0.0000  6 Cu 2.40-2.53, 1 Mg 2.60
Al 0.8847 0.3847 0.0000  6 Cu 2.40-2.53, 1 Mg 2.60
Cu 0.0000 0.5000 0.5000  4 Al 2.40, 4 Cu 2.68
Cu 0.0615 0.7918 0.5000  2 Al 2.53, 3 Cu 2.68-2.76, 2 Ag 2.73
Cu 0.2082 0.0615 0.5000  2 Al 2.53, 3 Cu 2.68-2.76, 2 Ag 2.73
Cu 0.2918 0.5615 0.5000  2 Al 2.53, 3 Cu 2.68-2.76, 2 Ag 2.73
Cu 0.4385 0.2918 0.5000  2 Al 2.53, 3 Cu 2.68-2.76, 2 Ag 2.73
Cu 0.5000 0.0000 0.5000  4 Al 2.40, 4 Cu 2.68
Cu 0.5615 0.7082 0.5000  2 Al 2.53, 3 Cu 2.68-2.76, 2 Ag 2.73
Cu 0.7082 0.4385 0.5000  2 Al 2.53, 3 Cu 2.68-2.76, 2 Ag 2.73
Cu 0.7918 0.9385 0.5000  2 Al 2.53, 3 Cu 2.68-2.76, 2 Ag 2.73
Cu 0.9385 0.2082 0.5000  2 Al 2.53, 3 Cu 2.68-2.76, 2 Ag 2.73
Ag 0.0000 0.0000 0.0000  8 Cu 2.73
Ag 0.5000 0.5000 0.0000  8 Cu 2.73


> Among the records above, which one has the highest magnetic moment?

GdErZn4


> The highest magnetic moment belongs to which entry?

GdErZn4


> calculated volume of number 2 (Cs2NaLiSe2)?

32.33 A^3/atom